Entry 1:
# PBE BeCuNi, optimized geometry
data_BeCuNi
_chemical_formula_sum 'Be4 Cu4 Ni4'
_cell_length_a 2.3813
_cell_length_b 13.6728
_cell_length_c 4.0422
_cell_angle_alpha 90.00
_cell_angle_beta 90.00
_cell_angle_gamma 90.00
_symmetry_space_group_name_H-M 'C m c m'
_symmetry_Int_Tables_number 63
_symmetry_space_group_name_Hall '-C 2c 2'
loop_
_atom_site_label
_atom_site_type_symbol
_atom_site_fract_x
_atom_site_fract_y
_atom_site_fract_z
_atom_site_occupancy
Be1 Be 0.0000 0.2203 0.2500 1
Cu1 Cu 0.0000 0.0473 0.2500 1
Ni1 Ni 0.0000 0.1428 0.7500 1
# calculated total energy: -53.03 eV for the cell shown
# formation enthalpy at 0 K: 0.35 eV/f.u.
# energy above the most stable polymorph in this dataset: 0.99 eV per formula unit

---

Entry 2:
# PBE Be2Cu2Ni, optimized geometry
data_Be2Cu2Ni
_chemical_formula_sum 'Be4 Cu4 Ni2'
_cell_length_a 6.1935
_cell_length_b 6.1935
_cell_length_c 2.6053
_cell_angle_alpha 90.00
_cell_angle_beta 90.00
_cell_angle_gamma 90.00
_symmetry_space_group_name_H-M 'P 4/m b m'
_symmetry_Int_Tables_number 127
_symmetry_space_group_name_Hall '-P 4 2ab'
loop_
_atom_site_label
_atom_site_type_symbol
_atom_site_fract_x
_atom_site_fract_y
_atom_site_fract_z
_atom_site_occupancy
Be1 Be 0.1345 0.3655 0.0000 1
Cu1 Cu 0.1615 0.6615 0.5000 1
Ni1 Ni 0.0000 0.0000 0.0000 1
# calculated total energy: -43.60 eV for the cell shown
# formation enthalpy at 0 K: -0.37 eV/f.u.
# energy above the most stable polymorph in this dataset: 0.45 eV per formula unit

---

Entry 3:
# PBE BeCu4Ni, optimized geometry
data_BeCu4Ni
_chemical_formula_sum 'Be4 Cu16 Ni4'
_cell_length_a 6.6180
_cell_length_b 6.6180
_cell_length_c 6.6180
_cell_angle_alpha 90.00
_cell_angle_beta 90.00
_cell_angle_gamma 90.00
_symmetry_space_group_name_H-M 'F -4 3 m'
_symmetry_Int_Tables_number 216
_symmetry_space_group_name_Hall 'F -4 2 3'
loop_
_atom_site_label
_atom_site_type_symbol
_atom_site_fract_x
_atom_site_fract_y
_atom_site_fract_z
_atom_site_occupancy
Be1 Be 0.0000 0.0000 0.0000 1
Cu1 Cu 0.1251 0.1251 0.6251 1
Ni1 Ni 0.2500 0.2500 0.2500 1
# calculated total energy: -97.30 eV for the cell shown
# formation enthalpy at 0 K: 1.57 eV/f.u.

---

Entry 4:
# PBE Be3CuNi2, optimized geometry
data_Be3CuNi2
_chemical_formula_sum 'Be3 Cu1 Ni2'
_cell_length_a 2.6002
_cell_length_b 2.6002
_cell_length_c 8.1724
_cell_angle_alpha 90.00
_cell_angle_beta 90.00
_cell_angle_gamma 90.00
_symmetry_space_group_name_H-M 'P 4/m m m'
_symmetry_Int_Tables_number 123
_symmetry_space_group_name_Hall '-P 4 2'
loop_
_atom_site_label
_atom_site_type_symbol
_atom_site_fract_x
_atom_site_fract_y
_atom_site_fract_z
_atom_site_occupancy
Be1 Be 0.0000 0.0000 0.0000 1
Be2 Be 0.0000 0.0000 0.3212 1
Cu1 Cu 0.5000 0.5000 0.5000 1
Ni1 Ni 0.5000 0.5000 0.1625 1
# calculated total energy: -28.91 eV for the cell shown
# formation enthalpy at 0 K: -2.08 eV/f.u.
# energy above the most stable polymorph in this dataset: 0.00 eV per formula unit

---

Entry 5:
# PBE BeCuNi2, optimized geometry
data_BeCuNi2
_chemical_formula_sum 'Be1 Cu1 Ni2'
_cell_length_a 4.1388
_cell_length_b 2.5128
_cell_length_c 4.1888
_cell_angle_alpha 90.00
_cell_angle_beta 107.52
_cell_angle_gamma 90.00
_symmetry_space_group_name_H-M 'P 1 2/m 1'
_symmetry_Int_Tables_number 10
loop_
_symmetry_equiv_pos_as_xyz
'x,y,z'
'-x,-y,-z'
'-x,y,-z'
'x,-y,z'
loop_
_atom_site_label
_atom_site_type_symbol
_atom_site_fract_x
_atom_site_fract_y
_atom_site_fract_z
_atom_site_occupancy
Be1 Be 0.0000 0.0000 0.0000 1
Cu1 Cu 0.0000 0.5000 0.5000 1
Ni1 Ni 0.5000 0.0000 0.5000 1
Ni2 Ni 0.5000 0.5000 0.0000 1
# calculated total energy: -19.77 eV for the cell shown
# formation enthalpy at 0 K: -0.39 eV/f.u.

---

Entry 6:
# PBE BeCu2Ni2, optimized geometry
data_BeCu2Ni2
_chemical_formula_sum 'Be2 Cu4 Ni4'
_cell_length_a 2.5717
_cell_length_b 2.5717
_cell_length_c 15.8300
_cell_angle_alpha 90.00
_cell_angle_beta 90.00
_cell_angle_gamma 90.00
_symmetry_space_group_name_H-M 'I 4/m m m'
_symmetry_Int_Tables_number 139
_symmetry_space_group_name_Hall '-I 4 2'
loop_
_atom_site_label
_atom_site_type_symbol
_atom_site_fract_x
_atom_site_fract_y
_atom_site_fract_z
_atom_site_occupancy
Be1 Be 0.0000 0.0000 0.0000 1
Cu1 Cu 0.0000 0.0000 0.1937 1
Ni1 Ni 0.0000 0.0000 0.4167 1
# calculated total energy: -48.80 eV for the cell shown
# formation enthalpy at 0 K: -0.92 eV/f.u.
# energy above the most stable polymorph in this dataset: 0.00 eV per formula unit

---

Entry 7:
# PBE Be3CuNi4, optimized geometry
data_Be3CuNi4
_chemical_formula_sum 'Be9 Cu3 Ni12'
_cell_length_a 3.7753
_cell_length_b 3.7753
_cell_length_c 18.6553
_cell_angle_alpha 90.00
_cell_angle_beta 90.00
_cell_angle_gamma 120.00
_symmetry_space_group_name_H-M 'R -3 m'
_symmetry_Int_Tables_number 166
_symmetry_space_group_name_Hall '-R 3 2"'
loop_
_atom_site_label
_atom_site_type_symbol
_atom_site_fract_x
_atom_site_fract_y
_atom_site_fract_z
_atom_site_occupancy
Be1 Be 0.0000 0.0000 0.0000 1
Be2 Be 0.0000 0.0000 0.2488 1
Cu1 Cu 0.0000 0.0000 0.5000 1
Ni1 Ni 0.0000 0.0000 0.1178 1
Ni2 Ni 0.0000 0.0000 0.3707 1
# calculated total energy: -122.61 eV for the cell shown
# formation enthalpy at 0 K: -2.47 eV/f.u.

---

Entry 8:
# PBE BeCu2Ni, optimized geometry
data_BeCu2Ni
_chemical_formula_sum 'Be3 Cu6 Ni3'
_cell_length_a 2.5120
_cell_length_b 2.5120
_cell_length_c 23.4754
_cell_angle_alpha 90.00
_cell_angle_beta 90.00
_cell_angle_gamma 120.00
_symmetry_space_group_name_H-M 'R 3 m'
_symmetry_Int_Tables_number 160
_symmetry_space_group_name_Hall 'R 3 -2"'
loop_
_atom_site_label
_atom_site_type_symbol
_atom_site_fract_x
_atom_site_fract_y
_atom_site_fract_z
_atom_site_occupancy
Be1 Be 0.0000 0.0000 0.0000 1
Cu1 Cu 0.0000 0.0000 0.2546 1
Cu2 Cu 0.0000 0.0000 0.4964 1
Ni1 Ni 0.0000 0.0000 0.7404 1
# calculated total energy: -53.85 eV for the cell shown
# formation enthalpy at 0 K: -0.25 eV/f.u.

---

Entry 9:
# PBE BeCu2Ni, optimized geometry
data_BeCu2Ni
_chemical_formula_sum 'Be1 Cu2 Ni1'
_cell_length_a 2.6205
_cell_length_b 2.6205
_cell_length_c 6.1142
_cell_angle_alpha 90.00
_cell_angle_beta 90.00
_cell_angle_gamma 90.00
_symmetry_space_group_name_H-M 'P 4/m m m'
_symmetry_Int_Tables_number 123
_symmetry_space_group_name_Hall '-P 4 2'
loop_
_atom_site_label
_atom_site_type_symbol
_atom_site_fract_x
_atom_site_fract_y
_atom_site_fract_z
_atom_site_occupancy
Be1 Be 0.0000 0.0000 0.0000 1
Cu1 Cu 0.5000 0.5000 0.2246 1
Ni1 Ni 0.0000 0.0000 0.5000 1
# calculated total energy: -17.90 eV for the cell shown
# formation enthalpy at 0 K: -0.20 eV/f.u.

---

Entry 10:
# PBE BeCuNi4, optimized geometry
data_BeCuNi4
_chemical_formula_sum 'Be4 Cu4 Ni16'
_cell_length_a 6.4992
_cell_length_b 6.4992
_cell_length_c 6.4992
_cell_angle_alpha 90.00
_cell_angle_beta 90.00
_cell_angle_gamma 90.00
_symmetry_space_group_name_H-M 'F -4 3 m'
_symmetry_Int_Tables_number 216
_symmetry_space_group_name_Hall 'F -4 2 3'
loop_
_atom_site_label
_atom_site_type_symbol
_atom_site_fract_x
_atom_site_fract_y
_atom_site_fract_z
_atom_site_occupancy
Be1 Be 0.0000 0.0000 0.0000 1
Cu1 Cu 0.2500 0.2500 0.7500 1
Ni1 Ni 0.1252 0.1252 0.3748 1
# calculated total energy: -119.53 eV for the cell shown
# formation enthalpy at 0 K: 1.06 eV/f.u.
# energy above the most stable polymorph in this dataset: 1.90 eV per formula unit

---

Entry 11:
# PBE Be3Cu2Ni, optimized geometry
data_Be3Cu2Ni
_chemical_formula_sum 'Be3 Cu2 Ni1'
_cell_length_a 2.6856
_cell_length_b 2.6856
_cell_length_c 7.8999
_cell_angle_alpha 90.00
_cell_angle_beta 90.00
_cell_angle_gamma 90.00
_symmetry_space_group_name_H-M 'P 4/m m m'
_symmetry_Int_Tables_number 123
_symmetry_space_group_name_Hall '-P 4 2'
loop_
_atom_site_label
_atom_site_type_symbol
_atom_site_fract_x
_atom_site_fract_y
_atom_site_fract_z
_atom_site_occupancy
Be1 Be 0.0000 0.0000 0.0000 1
Be2 Be 0.0000 0.0000 0.3436 1
Cu1 Cu 0.5000 0.5000 0.1688 1
Ni1 Ni 0.5000 0.5000 0.5000 1
# calculated total energy: -26.48 eV for the cell shown
# formation enthalpy at 0 K: -1.33 eV/f.u.

---

Entry 12:
# PBE Be6CuNi, optimized geometry
data_Be6CuNi
_chemical_formula_sum 'Be12 Cu2 Ni2'
_cell_length_a 3.6792
_cell_length_b 4.9813
_cell_length_c 7.5513
_cell_angle_alpha 90.00
_cell_angle_beta 90.00
_cell_angle_gamma 90.00
_symmetry_space_group_name_H-M 'A m m 2'
_symmetry_Int_Tables_number 38
loop_
_symmetry_equiv_pos_as_xyz
'x,y,z'
'-x,-y,z'
'-x,y,z'
'x,-y,z'
'x,y+1/2,z+1/2'
'-x,-y+1/2,z+1/2'
'-x,y+1/2,z+1/2'
'x,-y+1/2,z+1/2'
loop_
_atom_site_label
_atom_site_type_symbol
_atom_site_fract_x
_atom_site_fract_y
_atom_site_fract_z
_atom_site_occupancy
Be1 Be 0.0000 0.0000 0.0000 1
Be2 Be 0.0000 0.2299 0.2555 1
Be3 Be 0.5000 0.0000 0.3114 1
Be4 Be 0.5000 0.2361 0.0507 1
Cu1 Cu 0.5000 0.0000 0.7921 1
Ni1 Ni 0.0000 0.0000 0.5148 1
# calculated total energy: -67.24 eV for the cell shown
# formation enthalpy at 0 K: -1.38 eV/f.u.

---

| no. | calculated volume (Å³ per atom) |
| --- | --- |
| 1 | 10.97 |
| 2 | 9.99 |
| 3 | 12.08 |
| 4 | 9.21 |
| 5 | 10.39 |
| 6 | 10.47 |
| 7 | 9.59 |
| 8 | 10.69 |
| 9 | 10.50 |
| 10 | 11.44 |
| 11 | 9.50 |
| 12 | 8.65 |